Material: Sm3Dy2Cd3
Method: DFT, GGA-PBE
State: optimized geometry

abc: 8.754 8.754 3.401
angles: 90.00 90.00 120.00
Fractional positions:
Sm 0.000 0.237 0.000
Sm 0.237 0.000 0.000
Sm 0.763 0.763 0.000
Dy 0.333 0.667 0.000
Dy 0.667 0.333 0.000
Cd 0.000 0.613 0.500
Cd 0.387 0.387 0.500
Cd 0.613 0.000 0.500

Volume, Å³/atom: 28.22
M_tot, μB per atom: 0.115
N(E_F), states/eV/cell: 10.39
Distance to the lowest polymorph of the same formula, eV/atom: 0.095
E_form, eV/atom: -0.14